The following is a meta-GGA SCAN calculation of InCuAg2 at its PBEsol-relaxed geometry, from Alexandria via LeMat-Bulk.

```
InCuAg2
1.0
4.023 0.000 0.000
0.000 4.023 0.000
0.000 0.000 8.105
In Cu Ag
2 2 4
Cartesian
0.000 0.000 0.000
2.011 2.011 4.053
0.000 2.011 6.079
2.011 0.000 2.026
0.000 0.000 4.053
0.000 2.011 2.026
2.011 0.000 6.079
2.011 2.011 0.000
```

Properties
As for the space-group type: No. 119. The density of states at the Fermi level is 0.27 states/eV per atom. The uncorrected energy is -111.1 eV/f.u. As for the crystal system: tetragonal. The calculation puts the formation energy from the elements at 0.050 eV/atom. The total magnetization is 0.000 μB per formula unit.